{"formula": "CoWCl2", "functional": "PBE-GGA", "state": "relaxed", "relative_energy_ev_per_atom": 0.872, "density_kg_m3": 7912, "dos_ef_per_ev_cell": 5.73, "e_form_raw_ev_per_atom": 0.75, "cell": [[2.857, -4.014, 0.000], [2.857, 4.014, 0.000], [-0.043, 0.000, 2.871]], "species": ["Co", "W", "Cl", "Cl"], "frac_coords": [[0.000, 0.000, 0.000], [0.500, 0.500, 0.000], [0.000, 0.500, 0.000], [0.500, 0.000, 0.000]]}